Model w:
3
Lattice="3.3083 0.0000 0.0000 0.0000 5.0824 0.0000 0.0000 -2.5412 4.4015" Properties=species:S:1:pos:R:3 comment="LiThCd PBE-GGA relaxed" density_g_cm3=7.88 spacegroup="No. 187" n_ef_per_ev_cell=2.77 pbc="T T T"
Th 2.2050 0.0000 2.9344
Li 0.5523 2.5412 1.4672
Cd 0.5510 0.0000 0.0000


Model x:
6
Lattice="-1.8043 -1.1834 -2.7072 4.0681 -1.1203 -2.2216 -0.2208 -8.2163 3.7389" Properties=species:S:1:pos:R:3 comment="LiThCd PBE-GGA relaxed" density_g_cm3=7.83 spacegroup="No. 59" n_ef_per_ev_cell=5.49 pbc="T T T"
Cd 2.4411 -7.0469 0.3468
Cd -0.3981 -3.4731 -1.5367
Li 1.5949 -5.5579 -1.9536
Li 0.4481 -4.9621 0.7637
Th -0.5323 -8.4639 0.7344
Th 2.5753 -2.0560 -1.9243


It is model x that is most stable; the runner-up trails by 0.024 eV/atom.


Model w:
4
Lattice="-2.5794 1.4215 -1.7278 0.0666 -2.5870 -2.2277 -4.9277 -3.7821 4.2449" Properties=species:S:1:pos:R:3 comment="Li2ThCd PBE-GGA relaxed" density_g_cm3=6.78 spacegroup="No. 123" n_ef_per_ev_cell=3.64 pbc="T T T"
Li -3.9558 -3.0362 3.4077
Li -0.9719 -0.7459 0.8372
Cd -1.2564 -0.5828 -1.9778
Th -3.7203 -2.4738 0.1447


Model x:
4
Lattice="3.2521 0.0000 0.0000 1.6260 2.8164 0.0000 1.6260 0.9388 10.9652" Properties=species:S:1:pos:R:3 comment="Li2ThCd PBE-GGA relaxed" density_g_cm3=5.92 spacegroup="No. 166" n_ef_per_ev_cell=2.18 pbc="T T T"
Cd 3.2521 1.8776 5.4826
Li 4.8781 2.8164 3.1955
Li 1.6260 0.9388 7.7697
Th 0.0000 0.0000 0.0000


It is model w that is most stable; the runner-up trails by 0.113 eV/atom.


Model w:
4
Lattice="4.9527 0.0000 0.0000 2.4763 4.2891 0.0000 2.4763 1.4297 4.0438" Properties=species:S:1:pos:R:3 comment="Li2ThCd PBE-GGA relaxed" density_g_cm3=6.93 spacegroup="No. 225" n_ef_per_ev_cell=1.86 pbc="T T T"
Th 0.0000 0.0000 0.0000
Li 7.4290 4.2891 3.0329
Li 2.4763 1.4297 1.0110
Cd 4.9527 2.8594 2.0219


Model x:
4
Lattice="3.3162 0.0000 0.0017 1.6582 2.8719 0.0017 1.6631 0.9602 10.1449" Properties=species:S:1:pos:R:3 comment="Li2ThCd PBE-GGA relaxed" density_g_cm3=6.16 spacegroup="No. 8" n_ef_per_ev_cell=1.52 pbc="T T T"
Cd 3.3121 1.9122 0.0071
Li 1.6614 0.9592 2.2120
Li 1.6591 0.9579 7.9290
Th 3.3236 1.9189 5.0744


It is model x that is most stable; the runner-up trails by 0.031 eV/atom.


Model w:
12
Lattice="4.6862 0.0000 -0.0310 0.0000 7.7193 0.0000 -2.2710 0.0000 7.9284" Properties=species:S:1:pos:R:3 comment="LiThCd4 PBE-GGA relaxed" density_g_cm3=7.99 spacegroup="No. 11" n_ef_per_ev_cell=6.33 pbc="T T T"
Cd 2.3637 3.5444 2.2723
Cd 0.0515 4.1749 5.6251
Cd 0.0679 1.9298 7.5680
Cd 0.0000 0.0000 0.0000
Cd 2.3473 5.7895 0.3294
Cd 2.3637 0.3152 2.2723
Cd 0.0515 7.4041 5.6251
Cd 0.0000 3.8597 0.0000
Th 2.3904 1.9298 5.0442
Th 0.0248 5.7895 2.8531
Li 0.0217 1.9298 2.2645
Li 2.3935 5.7895 5.6329


Model x:
6
Lattice="-2.0359 -2.3821 -0.8174 -0.5560 -1.1874 4.8449 -6.8072 5.6868 0.6125" Properties=species:S:1:pos:R:3 comment="LiThCd4 PBE-GGA relaxed" density_g_cm3=7.91 spacegroup="No. 10" n_ef_per_ev_cell=2.10 pbc="T T T"
Cd -7.8943 1.6995 2.1104
Cd -2.3558 1.9326 0.2033
Cd -1.5048 0.4178 2.5296
Cd -6.4873 1.3721 -0.4082
Li -4.6996 1.0586 2.3200
Th -1.0180 -1.1911 -0.4087


Model y:
6
Lattice="5.8897 0.0000 0.0000 2.9449 5.1006 0.0000 2.9449 1.7002 4.8089" Properties=species:S:1:pos:R:3 comment="LiThCd4 PBE-GGA relaxed" density_g_cm3=7.92 spacegroup="No. 216" n_ef_per_ev_cell=2.79 pbc="T T T"
Th 0.0000 0.0000 0.0000
Li 2.9449 1.7002 1.2022
Cd 5.8897 3.4004 0.6012
Cd 5.8897 1.7003 3.0055
Cd 7.3621 4.2505 3.0055
Cd 4.4174 4.2505 3.0055


It is model x that is most stable; the runner-up trails by 0.070 eV/atom.


Model w:
10
Lattice="-3.5125 0.6072 6.8059 -1.5730 -7.5188 -0.1410 2.5754 -0.5647 1.3796" Properties=species:S:1:pos:R:3 comment="Li2TiCd2 PBE-GGA relaxed" density_g_cm3=5.42 spacegroup="No. 127" n_ef_per_ev_cell=7.14 pbc="T T T"
Li -1.0181 -2.7892 0.7589
Li -2.7220 -6.3900 2.4662
Li -4.0674 -4.1224 5.9060
Li -2.3634 -0.5216 4.1987
Ti -2.5427 -3.4558 3.3324
Ti 0.0000 0.0000 0.0000
Cd -0.4231 -5.2980 1.8307
Cd -2.3940 -6.0205 5.2144
Cd -2.0869 -2.1782 6.2137
Cd -0.1160 -1.4557 2.8300


Model x:
10
Lattice="7.8296 0.0000 0.0000 0.0000 7.8296 0.0000 0.0000 0.0000 3.0461" Properties=species:S:1:pos:R:3 comment="Li2TiCd2 PBE-GGA relaxed" density_g_cm3=5.10 spacegroup="No. 127" n_ef_per_ev_cell=6.36 pbc="T T T"
Cd 5.0192 1.1044 0.0000
Cd 2.8104 6.7252 0.0000
Cd 6.7252 5.0192 0.0000
Cd 1.1044 2.8104 0.0000
Ti 3.9148 3.9148 0.0000
Ti 0.0000 0.0000 0.0000
Li 1.2476 5.1624 1.5231
Li 6.5820 2.6672 1.5231
Li 5.1624 6.5820 1.5231
Li 2.6672 1.2476 1.5231


It is model w that is most stable; the runner-up trails by 0.078 eV/atom.


Model w:
6
Lattice="2.4745 1.0920 -1.1064 1.3635 3.7874 -1.0057 -3.9250 -5.5264 16.7158" Properties=species:S:1:pos:R:3 comment="LiTiCd PBE-GGA relaxed" density_g_cm3=4.86 spacegroup="No. 12" n_ef_per_ev_cell=4.75 pbc="T T T"
Ti 0.2947 0.7751 3.3288
Ti -0.3817 -1.4221 11.2748
Li 2.6486 3.5070 -0.3224
Li -2.7356 -4.1540 14.9260
Cd 0.4128 -0.8651 5.8711
Cd -0.4998 0.2182 8.7326


Model x:
6
Lattice="3.1541 -0.0001 0.0002 0.0001 3.0191 -0.6816 -0.0008 -0.6152 11.4942" Properties=species:S:1:pos:R:3 comment="LiTiCd PBE-GGA relaxed" density_g_cm3=5.14 spacegroup="No. 11" n_ef_per_ev_cell=3.18 pbc="T T T"
Cd 1.0940 1.4308 1.6507
Cd 2.6707 1.0520 7.1406
Ti 1.0935 -0.0110 9.4703
Ti 2.6705 1.8788 10.8150
Li 2.6709 0.2934 3.6733
Li 1.0938 2.1858 5.1192


It is model x that is most stable; the runner-up trails by 0.264 eV/atom.